# RhSe2BrF

An optimized crystal structure of RhSe2BrF (PBE, Alexandria).

Cell: 4.7824 4.7824 5.1867 Å, 90.00 90.00 90.00°
Last column: nearest neighbours and their distance in Å.
Atoms (fractional coordinates):
Rh: 0.0000 0.0000 0.0000  4 Se 2.39, 2 Br 2.59
Se: 0.0000 0.5000 0.0000  2 Rh 2.39
Se: 0.5000 0.0000 0.0000  2 Rh 2.39
Br: 0.0000 0.0000 0.5000  2 Rh 2.59
F: 0.5000 0.5000 0.5000  4 Br 3.38, 8 Se 3.53

Output
- uncorrected formation energy (meV/atom) = 205.8


# PmTmInAu

An optimized crystal structure of PmTmInAu (PBE, Alexandria).

Cell: 3.6240 3.6240 7.7684 Å, 90.00 90.00 90.00°
Last column: nearest neighbours and their distance in Å.
Atoms (fractional coordinates):
Pm: 0.0000 0.0000 0.8447  4 Au 3.29, 4 In 3.34, 1 Tm 3.59, 4 Pm 3.62
Tm: 0.0000 0.0000 0.3820  4 Au 2.99, 4 In 3.27
In: 0.5000 0.5000 0.1213  4 Tm 3.27, 4 Pm 3.34, 1 Au 3.56, 4 In 3.62
Au: 0.5000 0.5000 0.5799  4 Tm 2.99, 4 Pm 3.29

Output
- formation energy (eV/f.u.) = -2.67


# Dy4Cd5In2

An optimized crystal structure of Dy4Cd5In2 (PBE, Alexandria).

Cell: 3.5184 7.9444 10.2033 Å, 95.65 90.00 90.00°
Last column: nearest neighbours and their distance in Å.
Atoms (fractional coordinates):
Dy: 0.5000 0.7213 0.5619  4 In 3.28, 6 Cd 3.28-3.39, 3 Dy 3.52-3.62
Dy: 0.5000 0.1699 0.8909  2 In 3.17, 8 Cd 3.26-3.49, 2 Dy 3.52
Dy: 0.5000 0.2787 0.4381  4 In 3.28, 6 Cd 3.28-3.39, 3 Dy 3.52-3.62
Dy: 0.5000 0.8301 0.1091  2 In 3.17, 8 Cd 3.26-3.49, 2 Dy 3.52
Cd: 0.0000 0.5573 0.2948  2 Cd 3.00-3.11, 1 In 3.01, 2 Dy 3.28
Cd: 0.0000 0.1878 0.1605  1 In 3.02, 2 Cd 3.10-3.11, 6 Dy 3.26-3.35
Cd: 0.0000 0.5000 0.0000  4 Cd 3.00-3.10, 4 Dy 3.26
Cd: 0.0000 0.8122 0.8395  1 In 3.02, 2 Cd 3.10-3.11, 6 Dy 3.26-3.35
Cd: 0.0000 0.4427 0.7052  2 Cd 3.00-3.11, 1 In 3.01, 2 Dy 3.28
In: 0.0000 0.0654 0.6371  1 In 2.89, 2 Cd 3.01-3.02, 2 Dy 3.17
In: 0.0000 0.9346 0.3629  1 In 2.89, 2 Cd 3.01-3.02, 2 Dy 3.17

Output
- formation energy (eV/f.u.) = -3.17


# KV2Br2

An optimized crystal structure of KV2Br2 (PBE, Alexandria).

Cell: 8.9077 8.9077 3.6329 Å, 90.00 90.00 90.00°
Last column: nearest neighbours and their distance in Å.
Atoms (fractional coordinates):
K: 0.0000 0.0000 0.0000  2 K 3.63, 8 Br 3.65, 4 V 3.88
K: 0.5000 0.5000 0.0000  2 K 3.63, 8 Br 3.65, 4 V 3.88
Br: 0.2766 0.7766 0.5000  2 V 2.65
Br: 0.7766 0.7234 0.5000  2 V 2.65
Br: 0.7234 0.2234 0.5000  2 V 2.65
Br: 0.2234 0.2766 0.5000  2 V 2.65
V: 0.4302 0.9302 0.0000  1 V 1.76
V: 0.9302 0.5698 0.0000  1 V 1.76
V: 0.5698 0.0698 0.0000  1 V 1.76
V: 0.0698 0.4302 0.0000  1 V 1.76

Output
- uncorrected formation energy (meV/atom) = 75.5


# PuZrTiGa

An optimized crystal structure of PuZrTiGa (PBE, Alexandria).

Cell: 4.8126 4.8126 4.8126 Å, 60.00 60.00 60.00°
Last column: nearest neighbours and their distance in Å.
Atoms (fractional coordinates):
Ti: 0.2500 0.2500 0.2500  4 Pu 2.95, 4 Ga 2.95
Ga: 0.5000 0.5000 0.5000  4 Ti 2.95, 4 Zr 2.95
Zr: 0.7500 0.7500 0.7500  4 Ga 2.95, 4 Pu 2.95
Pu: 0.0000 0.0000 0.0000  4 Zr 2.95, 4 Ti 2.95

Output
- formation energy (eV/f.u.) = -0.27


# LaHgBr2

An optimized crystal structure of LaHgBr2 (PBE, Alexandria).

Cell: 12.3143 12.3143 12.3143 Å, 20.77 20.77 20.77°
Last column: nearest neighbours and their distance in Å.
Atoms (fractional coordinates):
Hg: 0.5000 0.5000 0.5000  6 Br 4.19, 6 Hg 4.44
Br: 0.9250 0.9250 0.9250  1 La 2.71
Br: 0.0750 0.0750 0.0750  1 La 2.71
La: 0.0000 0.0000 0.0000  2 Br 2.71

Output
- uncorrected formation energy (meV/atom) = -707.5


# Mn2ICl

An optimized crystal structure of Mn2ICl (PBE, Alexandria).

Cell: 4.4249 4.4249 4.4249 Å, 60.00 60.00 60.00°
Last column: nearest neighbours and their distance in Å.
Atoms (fractional coordinates):
I: 0.5000 0.5000 0.5000  8 Mn 2.71
Mn: 0.2500 0.2500 0.2500  4 Cl 2.71, 4 I 2.71
Mn: 0.7500 0.7500 0.7500  4 Cl 2.71, 4 I 2.71
Cl: 0.0000 0.0000 0.0000  8 Mn 2.71

Output
- uncorrected formation energy (meV/atom) = 1047.0


# BC3

An optimized crystal structure of BC3 (PBE, Alexandria).

Cell: 4.4974 4.4974 7.6361 Å, 115.52 115.52 32.54°
Last column: nearest neighbours and their distance in Å.
Atoms (fractional coordinates):
B: 0.5010 0.5010 0.3732  4 C 1.59-1.67
B: 0.1716 0.1716 0.2047  4 C 1.63-1.68
B: 0.6620 0.6620 0.8353  4 C 1.62-1.69
C: 0.6735 0.6735 0.3478  1 C 1.53, 3 B 1.59-1.66
C: 0.3340 0.3340 0.1510  2 C 1.50, 2 B 1.63-1.66
C: 0.9927 0.9927 0.9880  3 C 1.53-1.55, 1 B 1.68
C: 0.8449 0.8449 0.0508  3 C 1.50-1.55
C: 0.4922 0.4922 0.8736  3 C 1.53-1.57, 1 B 1.62
C: 0.3302 0.3302 0.6677  4 C 1.53-1.57
C: 0.1657 0.1657 0.6964  2 C 1.49-1.53, 2 B 1.66
C: 0.9981 0.9981 0.5155  2 C 1.49-1.54
C: 0.8340 0.8340 0.5461  4 C 1.53-1.57

Output
- formation energy (eV/f.u.) = 1.09


# AcLa2Pm3

An optimized crystal structure of AcLa2Pm3 (PBE, Alexandria).

Cell: 6.9269 7.9929 7.9929 Å, 90.64 90.00 90.00°
Last column: nearest neighbours and their distance in Å.
Atoms (fractional coordinates):
Ac: 0.7500 0.8962 0.8962  5 Pm 3.48-3.59
Ac: 0.2500 0.1038 0.1038  5 Pm 3.48-3.59
La: 0.7500 0.3999 0.1002  1 La 3.41, 4 Pm 3.47-3.52
La: 0.2500 0.6001 0.8998  1 La 3.41, 4 Pm 3.47-3.52
La: 0.2500 0.8998 0.6001  1 La 3.41, 4 Pm 3.47-3.52
La: 0.7500 0.1002 0.3999  1 La 3.41, 4 Pm 3.47-3.52
Pm: 0.2500 0.4134 0.4134  4 Pm 3.41, 1 Ac 3.48
Pm: 0.7500 0.5866 0.5866  4 Pm 3.41, 1 Ac 3.48
Pm: 0.5000 0.2565 0.7435  4 Pm 3.41-3.46, 4 La 3.47-3.52, 2 Ac 3.59
Pm: 0.0000 0.2565 0.7435  4 Pm 3.41-3.46, 4 La 3.47-3.52, 2 Ac 3.59
Pm: 0.5000 0.7435 0.2565  4 Pm 3.41-3.46, 4 La 3.47-3.52, 2 Ac 3.59
Pm: 0.0000 0.7435 0.2565  4 Pm 3.41-3.46, 4 La 3.47-3.52, 2 Ac 3.59

Output
- formation energy (eV/f.u.) = 0.95


# Cr5Os

An optimized crystal structure of Cr5Os (PBE, Alexandria).

Cell: 4.7045 4.7045 4.7045 Å, 60.00 60.00 60.00°
Last column: nearest neighbours and their distance in Å.
Atoms (fractional coordinates):
Cr: 0.6240 0.6240 0.1279  6 Cr 2.33-2.37
Cr: 0.2500 0.2500 0.2500  12 Cr 2.76, 4 Os 2.88
Cr: 0.6240 0.6240 0.6240  6 Cr 2.33-2.37
Cr: 0.1279 0.6240 0.6240  6 Cr 2.33-2.37
Cr: 0.6240 0.1279 0.6240  6 Cr 2.33-2.37
Os: 0.0000 0.0000 0.0000  16 Cr 2.76-2.88

Output
- formation energy (eV/f.u.) = 0.72


# LuMg2Sc

An optimized crystal structure of LuMg2Sc (PBE, Alexandria).

Cell: 3.6600 3.6600 7.3482 Å, 90.00 90.00 90.00°
Last column: nearest neighbours and their distance in Å.
Atoms (fractional coordinates):
Sc: 0.5000 0.5000 0.0000  8 Mg 3.12
Mg: 0.0000 0.0000 0.7634  4 Sc 3.12, 4 Lu 3.23, 1 Mg 3.48
Mg: 0.0000 0.0000 0.2366  4 Sc 3.12, 4 Lu 3.23, 1 Mg 3.48
Lu: 0.5000 0.5000 0.5000  8 Mg 3.23

Output
- formation energy (eV/f.u.) = -0.18


# LiCeZnRh

An optimized crystal structure of LiCeZnRh (PBE, Alexandria).

Cell: 4.6740 4.6740 4.6740 Å, 60.00 60.00 60.00°
Last column: nearest neighbours and their distance in Å.
Atoms (fractional coordinates):
Zn: 0.0000 0.0000 0.0000  4 Rh 2.86, 4 Li 2.86
Rh: 0.2500 0.2500 0.2500  4 Ce 2.86, 4 Zn 2.86
Ce: 0.5000 0.5000 0.5000  4 Li 2.86, 4 Rh 2.86
Li: 0.7500 0.7500 0.7500  4 Ce 2.86, 4 Zn 2.86

Output
- formation energy (eV/f.u.) = -1.37


Number 1: total DFT energy (no corrections) -3.37 eV per atom, V 23.725 Å³/atom. Number 2: total DFT energy (no corrections) -4.48 eV per atom, V 25.507 Å³/atom. Number 3: total DFT energy (no corrections) -2.88 eV per atom, V 25.801 Å³/atom. Number 4: total DFT energy (no corrections) -4.46 eV per atom, V 28.825 Å³/atom. Number 5: total DFT energy (no corrections) -8.52 eV per atom, V 19.705 Å³/atom. Number 6: total DFT energy (no corrections) -2.85 eV per atom, V 51.397 Å³/atom. Number 7: total DFT energy (no corrections) -4.39 eV per atom, V 15.316 Å³/atom. Number 8: total DFT energy (no corrections) -8.31 eV per atom, V 6.187 Å³/atom. Number 9: total DFT energy (no corrections) -4.54 eV per atom, V 36.876 Å³/atom. Number 10: total DFT energy (no corrections) -9.77 eV per atom, V 12.271 Å³/atom. Number 11: total DFT energy (no corrections) -3.55 eV per atom, V 24.609 Å³/atom. Number 12: total DFT energy (no corrections) -4.46 eV per atom, V 18.050 Å³/atom.